Below is crystalline CsBeCl3 at its relaxed geometry, with properties calculated at the PBE level.

abc: 7.4598 7.4598 10.2601
angles: 90.00 90.00 90.00
Space group I4/mmm (No. 139)
Symmetry-distinct sites (fractional):
Cs: 0.0000 0.5000 0.2500 x4
Be: 0.0000 0.0000 0.0000 x2
Be: 0.0000 0.0000 0.5000 x2
Cl: 0.0000 0.0000 0.1798 x4
Cl: 0.2049 0.2049 0.5000 x8

Summary:
The value obtained for the distance to the lowest polymorph of the same formula is 258 meV per atom. The volume is 571.0 Å³/cell. The value obtained for the formation energy (no corrections) is -1.4675 eV per atom. For the final energy, the calculation gives -69.8 eV per cell. The calculation puts the total magnetic moment at 0.0 μB per formula unit.

=====

Below is crystalline CsBeCl3 at its relaxed geometry, with properties calculated at the PBE level.

abc: 6.2177 6.2177 6.2177
angles: 90.00 90.00 90.00
Space group Pm-3m (No. 221)
Symmetry-distinct sites (fractional):
Cs: 0.0000 0.0000 0.0000 x1
Be: 0.5000 0.5000 0.5000 x1
Cl: 0.0000 0.0000 0.5000 x3

Summary:
The value obtained for the distance to the lowest polymorph of the same formula is 2052 meV per atom. The volume is 240.4 Å³/cell. The value obtained for the formation energy (no corrections) is 0.3269 eV per atom. For the final energy, the calculation gives -8.5 eV per cell. The calculation puts the total magnetic moment at 0.0 μB per formula unit.

=====

Below is crystalline CsBeCl3 at its relaxed geometry, with properties calculated at the PBE level.

abc: 5.8255 7.4483 7.4507
angles: 74.63 87.27 87.26
Space group P1 (No. 1)
Symmetry-distinct sites (fractional):
Cs: 0.0000 0.0000 0.0000 x1
Cs: 0.4500 0.6490 0.6497 x1
Be: 0.7250 0.1701 0.4780 x1
Be: 0.7247 0.4780 0.1712 x1
Cl: 0.5153 0.7012 0.1495 x1
Cl: 0.5156 0.1482 0.7012 x1
Cl: 0.5448 0.2314 0.2316 x1
Cl: 0.9048 0.4167 0.4176 x1
Cl: 0.9341 0.5001 0.9480 x1
Cl: 0.9345 0.9470 0.4997 x1

Summary:
The value obtained for the distance to the lowest polymorph of the same formula is 0 meV per atom. The volume is 311.2 Å³/cell. The value obtained for the formation energy (no corrections) is -1.7256 eV per atom. For the final energy, the calculation gives -37.5 eV per cell. The calculation puts the total magnetic moment at 0.0 μB per formula unit.

=====

Below is crystalline Cs2BeCl7 at its relaxed geometry, with properties calculated at the PBE level.

abc: 7.7671 7.7671 10.8395
angles: 90.00 90.00 90.00
Space group I4/mmm (No. 139)
Symmetry-distinct sites (fractional):
Cs: 0.0000 0.5000 0.2500 x4
Be: 0.0000 0.0000 0.0000 x2
Cl: 0.0000 0.0000 0.2886 x4
Cl: 0.0000 0.0000 0.5000 x2
Cl: 0.1904 0.1904 0.0000 x8

Summary:
The volume is 653.9 Å³/cell. The value obtained for the formation energy (no corrections) is -1.0897 eV per atom. For the final energy, the calculation gives -58.5 eV per cell. The calculation puts the total magnetic moment at 1.0 μB per formula unit.

=====

Below is crystalline Cs3BeCl at its relaxed geometry, with properties calculated at the PBE level.

abc: 6.7127 6.7127 6.7127
angles: 90.00 90.00 90.00
Space group Pm-3m (No. 221)
Symmetry-distinct sites (fractional):
Cs: 0.0000 0.0000 0.5000 x3
Be: 0.5000 0.5000 0.5000 x1
Cl: 0.0000 0.0000 0.0000 x1

Summary:
The value obtained for the distance to the lowest polymorph of the same formula is 0 meV per atom. The volume is 302.5 Å³/cell. The value obtained for the formation energy (no corrections) is -0.1875 eV per atom. For the final energy, the calculation gives -9.1 eV per cell. The calculation puts the total magnetic moment at 0.0 μB per formula unit.

=====

Below is crystalline Cs3Be2Cl8 at its relaxed geometry, with properties calculated at the PBE level.

abc: 7.1919 7.1919 28.3202
angles: 90.00 90.00 120.00
Space group R-3m (No. 166, hexagonal axes)
Symmetry-distinct sites (fractional):
Cs: 0.0000 0.0000 0.0000 x3
Cs: 0.0000 0.0000 0.2108 x6
Be: 0.0000 0.0000 0.4126 x6
Cl: 0.0000 0.0000 0.3405 x6
Cl: 0.0241 0.5121 0.2319 x18

Summary:
The volume is 1268.6 Å³/cell. The value obtained for the formation energy (no corrections) is -1.5868 eV per atom. For the final energy, the calculation gives -136.2 eV per cell. The calculation puts the total magnetic moment at 1.3 μB per formula unit.

=====

Below is crystalline Cs2BeCl at its relaxed geometry, with properties calculated at the PBE level.

abc: 9.4296 9.4296 10.1755
angles: 90.00 90.00 90.00
Space group I-42d (No. 122)
Symmetry-distinct sites (fractional):
Cs: 0.2120 0.2500 0.1250 x8
Be: 0.0000 0.0000 0.5000 x4
Cl: 0.0000 0.0000 0.0000 x4

Summary:
The volume is 904.8 Å³/cell. The value obtained for the formation energy (no corrections) is -0.1910 eV per atom. For the final energy, the calculation gives -32.2 eV per cell. The calculation puts the total magnetic moment at 1.0 μB per formula unit.

=====

Below is crystalline CsBe2Cl at its relaxed geometry, with properties calculated at the PBE level.

abc: 8.0858 8.0858 8.0858
angles: 90.00 90.00 90.00
Space group Fm-3m (No. 225)
Symmetry-distinct sites (fractional):
Cs: 0.0000 0.0000 0.0000 x4
Be: 0.2500 0.2500 0.2500 x8
Cl: 0.0000 0.0000 0.5000 x4

Summary:
The volume is 528.6 Å³/cell. The value obtained for the formation energy (no corrections) is 0.9384 eV per atom. For the final energy, the calculation gives -25.6 eV per cell. The calculation puts the total magnetic moment at 0.0 μB per formula unit.

=====

Below is crystalline Cs2BeCuCl6 at its relaxed geometry, with properties calculated at the PBE level.

abc: 7.1160 7.1160 10.9088
angles: 90.00 90.00 90.00
Space group I4/mmm (No. 139)
Symmetry-distinct sites (fractional):
Cs: 0.0000 0.5000 0.2500 x4
Be: 0.0000 0.0000 0.0000 x2
Cu: 0.0000 0.0000 0.5000 x2
Cl: 0.0000 0.0000 0.3010 x4
Cl: 0.2134 0.2134 0.0000 x8

Summary:
The volume is 552.4 Å³/cell. The value obtained for the formation energy (no corrections) is -1.2399 eV per atom. For the final energy, the calculation gives -66.0 eV per cell. The calculation puts the total magnetic moment at 0.9 μB per formula unit.

=====

Below is crystalline CsDyBeCl6 at its relaxed geometry, with properties calculated at the PBE level.

abc: 6.5473 6.5473 7.8010
angles: 90.00 90.00 120.00
Space group P312 (No. 149)
Symmetry-distinct sites (fractional):
Cs: 0.0000 0.0000 0.0000 x1
Dy: 0.6667 0.3333 0.5000 x1
Be: 0.3333 0.6667 0.5000 x1
Cl: 0.0369 0.3920 0.6774 x6

Summary:
The volume is 289.6 Å³/cell. The value obtained for the formation energy (no corrections) is -1.8328 eV per atom. For the final energy, the calculation gives -36.8 eV per cell. The calculation puts the total magnetic moment at 0.0 μB per formula unit.

=====

Below is crystalline CsDyBe2Cl8 at its relaxed geometry, with properties calculated at the PBE level.

abc: 6.2686 6.2686 30.7322
angles: 90.00 90.00 120.00
Space group R-3 (No. 148, hexagonal axes)
Symmetry-distinct sites (fractional):
Cs: 0.0000 0.0000 0.0000 x3
Dy: 0.0000 0.0000 0.5000 x3
Be: 0.0000 0.0000 0.2413 x6
Cl: 0.0000 0.0000 0.3049 x6
Cl: 0.0044 0.6922 0.2180 x18

Summary:
The volume is 1045.8 Å³/cell. The value obtained for the formation energy (no corrections) is -1.8116 eV per atom. For the final energy, the calculation gives -148.3 eV per cell. The calculation puts the total magnetic moment at 0.0 μB per formula unit.

=====

Below is crystalline CsBe2FeCl at its relaxed geometry, with properties calculated at the PBE level.

abc: 7.2767 7.2767 6.2750
angles: 90.00 90.00 90.00
Space group P4/mmm (No. 123)
Symmetry-distinct sites (fractional):
Cs: 0.0000 0.0000 0.0000 x1
Be: 0.0000 0.5000 0.0000 x2
Fe: 0.5000 0.5000 0.5000 x1
Cl: 0.0000 0.0000 0.5000 x1

Summary:
The volume is 332.3 Å³/cell. The value obtained for the formation energy (no corrections) is 1.8402 eV per atom. For the final energy, the calculation gives -9.4 eV per cell. The calculation puts the total magnetic moment at 4.0 μB per formula unit.

=====

Below is crystalline Cs2BeGaCl6 at its relaxed geometry, with properties calculated at the PBE level.

abc: 7.0465 7.0465 10.8596
angles: 90.00 90.00 90.00
Space group I4/mmm (No. 139)
Symmetry-distinct sites (fractional):
Cs: 0.0000 0.5000 0.2500 x4
Be: 0.0000 0.0000 0.0000 x2
Ga: 0.0000 0.0000 0.5000 x2
Cl: 0.0000 0.0000 0.2718 x4
Cl: 0.2213 0.2213 0.0000 x8

Summary:
The volume is 539.2 Å³/cell. The value obtained for the formation energy (no corrections) is -1.3396 eV per atom. For the final energy, the calculation gives -65.9 eV per cell. The calculation puts the total magnetic moment at 0.0 μB per formula unit.

=====

Below is crystalline CsBe2GaCl6 at its relaxed geometry, with properties calculated at the PBE level.

abc: 10.9938 14.1375 9.4651
angles: 90.00 112.34 90.00
Space group C2/c (No. 15)
Symmetry-distinct sites (fractional):
Cs: 0.0000 0.1549 0.2500 x4
Be: 0.2406 0.3877 0.2823 x8
Ga: 0.0000 0.4434 0.7500 x4
Cl: 0.0739 0.3927 0.1091 x8
Cl: 0.1678 0.2288 0.6578 x8
Cl: 0.2017 0.0022 0.1000 x8

Summary:
The volume is 1360.7 Å³/cell. The value obtained for the formation energy (no corrections) is -1.3949 eV per atom. For the final energy, the calculation gives -145.4 eV per cell. The calculation puts the total magnetic moment at 0.0 μB per formula unit.

=====

Below is crystalline CsBeGeCl at its relaxed geometry, with properties calculated at the PBE level.

abc: 3.8209 4.2761 14.7359
angles: 90.00 90.00 90.00
Space group Amm2 (No. 38)
Symmetry-distinct sites (fractional):
Cs: 0.0000 0.0000 0.0000 x2
Be: 0.5000 0.0000 0.7683 x2
Ge: 0.5000 0.0000 0.3220 x2
Cl: 0.5000 0.0000 0.6322 x2

Summary:
The value obtained for the distance to the lowest polymorph of the same formula is 0 meV per atom. The volume is 240.8 Å³/cell. The value obtained for the formation energy (no corrections) is -0.3258 eV per atom. For the final energy, the calculation gives -24.7 eV per cell. The calculation puts the total magnetic moment at 1.0 μB per formula unit.

=====

Below is crystalline CsBeGeCl at its relaxed geometry, with properties calculated at the PBE level.

abc: 4.2255 5.6788 5.6391
angles: 90.00 111.57 90.00
Space group Pm (No. 6)
Symmetry-distinct sites (fractional):
Cs: 0.0000 0.0000 0.0000 x1
Be: 0.1862 0.5000 0.5154 x1
Ge: 0.6373 0.5000 0.4153 x1
Cl: 0.4744 0.5000 0.9101 x1

Summary:
The value obtained for the distance to the lowest polymorph of the same formula is 8 meV per atom. The volume is 125.8 Å³/cell. The value obtained for the formation energy (no corrections) is -0.3178 eV per atom. For the final energy, the calculation gives -12.3 eV per cell. The calculation puts the total magnetic moment at 0.0 μB per formula unit.

=====

Below is crystalline CsBeGeCl at its relaxed geometry, with properties calculated at the PBE level.

abc: 3.5111 4.3858 7.9321
angles: 98.84 90.02 113.50
Space group P1 (No. 1)
Symmetry-distinct sites (fractional):
Cs: 0.0000 0.0000 0.0000 x1
Be: 0.3674 0.7286 0.5584 x1
Ge: 0.6686 0.3340 0.6295 x1
Cl: 0.3448 0.6867 0.2968 x1

Summary:
The value obtained for the distance to the lowest polymorph of the same formula is 45 meV per atom. The volume is 110.4 Å³/cell. The value obtained for the formation energy (no corrections) is -0.2805 eV per atom. For the final energy, the calculation gives -12.2 eV per cell. The calculation puts the total magnetic moment at 0.0 μB per formula unit.

=====

Below is crystalline CsBeGeCl at its relaxed geometry, with properties calculated at the PBE level.

abc: 7.1872 4.2917 7.3051
angles: 90.00 99.73 90.00
Space group Cm (No. 8)
Symmetry-distinct sites (fractional):
Cs: 0.0000 0.0000 0.0000 x2
Be: 0.4139 0.0000 0.4025 x2
Ge: 0.2594 0.5000 0.3711 x2
Cl: 0.1048 0.5000 0.6630 x2

Summary:
The value obtained for the distance to the lowest polymorph of the same formula is 39 meV per atom. The volume is 222.1 Å³/cell. The value obtained for the formation energy (no corrections) is -0.2866 eV per atom. For the final energy, the calculation gives -24.4 eV per cell. The calculation puts the total magnetic moment at 0.0 μB per formula unit.

=====

Below is crystalline CsBeGeCl at its relaxed geometry, with properties calculated at the PBE level.

abc: 16.8535 3.5765 3.7866
angles: 90.00 97.41 90.00
Space group Cm (No. 8)
Symmetry-distinct sites (fractional):
Cs: 0.0000 0.0000 0.0000 x2
Be: 0.2489 0.5000 0.5168 x2
Ge: 0.3352 0.0000 0.4055 x2
Cl: 0.1359 0.5000 0.5786 x2

Summary:
The value obtained for the distance to the lowest polymorph of the same formula is 10 meV per atom. The volume is 226.3 Å³/cell. The value obtained for the formation energy (no corrections) is -0.3163 eV per atom. For the final energy, the calculation gives -24.6 eV per cell. The calculation puts the total magnetic moment at 0.0 μB per formula unit.

=====

Below is crystalline CsBeGeCl at its relaxed geometry, with properties calculated at the PBE level.

abc: 3.4633 4.3181 14.2171
angles: 90.00 90.00 90.00
Space group Imm2 (No. 44)
Symmetry-distinct sites (fractional):
Cs: 0.0000 0.0000 0.0000 x2
Be: 0.0000 0.5000 0.2586 x2
Ge: 0.0000 0.0000 0.3199 x2
Cl: 0.0000 0.0000 0.6580 x2

Summary:
The value obtained for the distance to the lowest polymorph of the same formula is 28 meV per atom. The volume is 212.6 Å³/cell. The value obtained for the formation energy (no corrections) is -0.2973 eV per atom. For the final energy, the calculation gives -24.5 eV per cell. The calculation puts the total magnetic moment at 0.9 μB per formula unit.